DFT (PBE with a Hubbard U) results for a relaxed structure of SrScWO6.

Properties
M_tot   2.05 Bohr magnetons per cell
Calculated total energy   -0.5489 Ry/atom
Space group   P4_2nm, No. 102

Structure (POSCAR):
```
SrScWO6
1.0
-2.959 2.327 -3.401
-1.679 -4.504 -1.622
-7.377 0.351 6.659
O Sc Sr W
12 2 2 2
Direct
0.232 0.768 0.195
0.732 0.732 0.695
0.792 0.208 0.793
0.208 0.792 0.793
0.768 0.232 0.195
0.292 0.292 0.293
0.169 0.831 0.511
0.708 0.708 0.293
0.331 0.331 0.011
0.831 0.169 0.511
0.669 0.669 0.011
0.268 0.268 0.695
0.500 0.500 0.837
0.000 0.000 0.337
0.000 0.000 0.002
0.500 0.500 0.502
0.500 0.500 0.162
0.000 0.000 0.662
```